Ta2TlOs2 | GGA-PBE | relaxed

Output
The total magnetization is 0.0 μB/f.u. For the uncorrected energy, the calculation gives -9.62 eV/atom. As for the relative energy among the computed polymorphs: 0 meV per atom. The value obtained for the energy of formation is 0.089 eV per atom. For the volume, the calculation gives 18.2 Å³ per atom. Its density of states at the Fermi level is 7.72 states/eV/cell.

Structure (CIF):
```
data_Ta2TlOs2
_chemical_formula_sum 'Ta4 Tl2 Os4'
_space_group_name_H-M_alt 'P 4/m b m'
_space_group_IT_number 127
_space_group_name_Hall '-P 4 2ab'
_cell_length_a 7.738
_cell_length_b 7.738
_cell_length_c 3.035
_cell_angle_alpha 90.00
_cell_angle_beta 90.00
_cell_angle_gamma 90.00
loop_
_atom_site_label
_atom_site_type_symbol
_atom_site_fract_x
_atom_site_fract_y
_atom_site_fract_z
Ta1 Ta 0.153 0.347 0.000
Tl1 Tl 0.000 0.000 0.500
Os1 Os 0.135 0.635 0.500
```